1.
PaNi4H8Ru | GGA-PBE | optimized geometry

Output
Raw total energy (eV/atom): -4.9774
Mass density (g/cm3): 8.58

```
data_PaNi4H8Ru
_space_group_name_H-M_alt 'P 1'
_space_group_IT_number 1
_cell_length_a 5.508
_cell_length_b 5.508
_cell_length_c 5.508
_cell_angle_alpha 57.49
_cell_angle_beta 57.49
_cell_angle_gamma 57.49
loop_
_space_group_symop_operation_xyz
'x,y,z'
loop_
_atom_site_label
_atom_site_fract_x
_atom_site_fract_y
_atom_site_fract_z
Pa1 0.000 0.000 0.000
Ni1 0.147 0.629 0.629
Ni2 0.262 0.262 0.262
Ni3 0.629 0.147 0.629
Ni4 0.629 0.629 0.147
H1 0.375 0.375 0.867
H2 0.375 0.867 0.375
H3 0.392 0.392 0.392
H4 0.490 0.850 0.850
H5 0.848 0.848 0.848
H6 0.850 0.490 0.850
H7 0.850 0.850 0.490
H8 0.867 0.375 0.375
Ru1 0.631 0.631 0.631
```

---

2.
CdInH3 | GGA-PBE | optimized geometry

Output
Mass density (g/cm3): 5.59
E above lowest polymorph (meV/atom): 67

```
data_CdInH3
_space_group_name_H-M_alt 'P 1'
_space_group_IT_number 1
_cell_length_a 4.089
_cell_length_b 4.089
_cell_length_c 4.089
_cell_angle_alpha 90.00
_cell_angle_beta 90.00
_cell_angle_gamma 90.00
loop_
_space_group_symop_operation_xyz
'x,y,z'
loop_
_atom_site_label
_atom_site_fract_x
_atom_site_fract_y
_atom_site_fract_z
Cd1 0.000 0.000 0.000
In1 0.500 0.500 0.500
H1 0.000 0.500 0.500
H2 0.500 0.000 0.500
H3 0.500 0.500 0.000
```

---

3.
Pm2TiGa4Au3 | GGA-PBE | optimized geometry

Output
ΔE_f (eV per atom): -0.60
Mass density (g/cm3): 9.78

```
data_Pm2TiGa4Au3
_space_group_name_H-M_alt 'P 1'
_space_group_IT_number 1
_cell_length_a 4.242
_cell_length_b 4.242
_cell_length_c 11.392
_cell_angle_alpha 90.00
_cell_angle_beta 90.00
_cell_angle_gamma 90.00
loop_
_space_group_symop_operation_xyz
'x,y,z'
loop_
_atom_site_label
_atom_site_fract_x
_atom_site_fract_y
_atom_site_fract_z
Pm1 0.000 0.500 0.248
Pm2 0.500 0.000 0.752
Ti1 0.500 0.500 0.000
Ga1 0.000 0.000 0.500
Ga2 0.000 0.500 0.860
Ga3 0.500 0.000 0.140
Ga4 0.500 0.500 0.500
Au1 0.000 0.000 0.000
Au2 0.000 0.500 0.637
Au3 0.500 0.000 0.363
```

---

4.
K2TaMn | GGA-PBE | optimized geometry

Output
ΔE_f (eV per atom): 0.74
Mass density (g/cm3): 4.22
E above lowest polymorph (meV/atom): 0

```
data_K2TaMn
_space_group_name_H-M_alt 'P 1'
_space_group_IT_number 1
_cell_length_a 3.380
_cell_length_b 3.381
_cell_length_c 10.803
_cell_angle_alpha 90.00
_cell_angle_beta 91.05
_cell_angle_gamma 90.00
loop_
_space_group_symop_operation_xyz
'x,y,z'
loop_
_atom_site_label
_atom_site_fract_x
_atom_site_fract_y
_atom_site_fract_z
K1 0.000 0.000 0.000
K2 0.461 0.500 0.395
Ta1 0.482 0.500 0.726
Mn1 0.977 0.000 0.642
```

---

Calculated D(E_F), 4.282; 1.107; 5.777; 3.890 states/eV per cell (same order as the records).